{
  "formula": "AsIrWO2",
  "functional": "GGA+U",
  "state": "relaxed",
  "lattice": [[3.768, 0.000, 0.000], [0.000, 3.768, 0.000], [0.000, 0.000, 5.566]],
  "species": ["As", "Ir", "W", "O", "O"],
  "frac_coords": [[0.000, 0.000, 0.000], [0.500, 0.500, 0.000], [0.500, 0.500, 0.500], [0.000, 0.500, 0.500], [0.500, 0.000, 0.500]],
  "space_group": "P4/mmm, No. 123",
  "total_energy_ev_per_atom": -6.80
}